Entry 1:
4
Lattice="0.0000 2.8848 2.8848 2.8848 0.0000 2.8848 2.8848 2.8848 0.0000" Properties=species:S:1:pos:R:3 comment="BeCr2As (GGA-PBE, optimized geometry)" vol_a3_per_atom=12.0 de_polymorph_mev_per_atom=176.7 energy_ev_per_atom=-6.72 delta_e_f_mev_per_atom=181 pbc="T T T"
As 2.8848 2.8848 2.8848
Cr 4.3272 4.3272 4.3272
Cr 1.4424 1.4424 1.4424
Be 0.0000 0.0000 0.0000

=====

Entry 2:
4
Lattice="-0.3306 -5.1724 -3.1550 -2.2875 -5.0901 2.3823 -0.3258 5.7265 -1.9796" Properties=species:S:1:pos:R:3 comment="KIr2Pt (GGA-PBE, optimized geometry)" vol_a3_per_atom=18.8 de_polymorph_mev_per_atom=338.0 energy_ev_per_atom=-5.56 delta_e_f_mev_per_atom=655 pbc="T T T"
Ir -2.6051 -10.2115 -0.7688
Ir -1.0909 -2.7124 -2.7923
K -1.3101 -5.1353 -0.3866
Pt -1.8650 -1.8707 0.0366

=====

Entry 3:
4
Lattice="2.8617 0.0000 0.0000 0.0000 4.4138 0.0000 0.0000 0.0000 5.1882" Properties=species:S:1:pos:R:3 comment="LiOs2Br (GGA-PBE, optimized geometry)" vol_a3_per_atom=16.4 raw_formation_energy_mev_per_atom=1080 de_polymorph_mev_per_atom=752.0 energy_ev_per_atom=-5.43 pbc="T T T"
Li 1.4308 2.2069 3.8911
Os 0.0000 0.0000 5.0345
Os 0.0000 0.0000 2.7477
Br 1.4308 2.2069 1.2970

=====

Entry 4:
6
Lattice="-0.1895 -2.5916 3.2042 8.3088 -0.4800 -1.1499 1.5052 2.9024 2.4373" Properties=species:S:1:pos:R:3 comment="CaRhCl (GGA-PBE, optimized geometry)" vol_a3_per_atom=22.7 raw_formation_energy_mev_per_atom=-989 de_polymorph_mev_per_atom=186.1 energy_ev_per_atom=-4.72 pbc="T T T"
Rh 3.5051 1.9427 2.4791
Rh 2.1761 1.0755 4.3339
Cl 6.7523 -1.8907 1.6289
Cl 5.7337 1.5285 1.5964
Ca 8.8606 0.7362 0.6079
Ca 3.6250 -1.0996 2.6177

=====

Entry 5:
9
Lattice="-0.2689 -3.0236 0.9327 5.4920 -1.8785 -4.5066 1.4478 2.0057 6.9196" Properties=species:S:1:pos:R:3 comment="Mg3Ga3Pd2Ru (GGA-PBE, optimized geometry)" vol_a3_per_atom=16.5 energy_ev_per_atom=-4.22 delta_e_f_mev_per_atom=-493 pbc="T T T"
Mg 0.5601 0.7758 2.6767
Mg 4.2553 0.0780 1.4796
Mg 2.1244 -0.7266 -1.7433
Ga 0.9141 -0.0594 5.4774
Ga 1.7797 -1.4767 1.1319
Ga 3.8428 -2.8722 -2.7973
Ru 0.0000 0.0000 0.0000
Pd 2.6614 -0.8009 3.5772
Pd 4.0095 -2.0956 -0.2315